AlNi2P | PBE | relaxed

Lattice parameters (Å, degrees): 2.8128 4.2097 4.0629 90.00 90.14 90.00
Closest atoms and distances in Å follow each position.
Fractional coordinates of all 4 atoms:
Al 0.0000 0.0000 0.0000  6 Ni 2.42-2.51, 4 P 2.71
Ni 0.4989 0.0000 0.5109  2 P 2.34, 4 Al 2.43-2.51
Ni 0.9966 0.5000 0.2954  4 P 2.36-2.59, 2 Al 2.42
P 0.5004 0.5000 0.7617  6 Ni 2.34-2.59

Summary:
Energy relative to the elements: -0.36 eV per atom
Polymorph energy (0 for the lowest one): 190 meV per atom

Al2NiP | PBE | relaxed

Lattice parameters (Å, degrees): 5.0277 5.0277 5.0277 138.37 138.37 60.34
Closest atoms and distances in Å follow each position.
Fractional coordinates of all 4 atoms:
Al 0.0000 0.0000 0.0000  4 P 2.53, 4 Ni 2.81, 4 Al 2.81
Al 0.7500 0.2500 0.5000  4 Ni 2.53, 4 Al 2.81, 4 P 2.81
Ni 0.2500 0.7500 0.5000  8 Al 2.53-2.81, 4 P 2.81
P 0.5000 0.5000 0.0000  8 Al 2.53-2.81, 4 Ni 2.81

Summary:
Energy relative to the elements: -0.07 eV per atom

AlNi2P | PBE | relaxed

Lattice parameters (Å, degrees): 8.0770 8.0770 8.0770 153.32 153.32 38.09
Closest atoms and distances in Å follow each position.
Fractional coordinates of all 8 atoms:
Al 0.0000 0.0000 0.0000  4 Ni 2.37, 4 P 2.64
Al 0.7500 0.2500 0.5000  4 Ni 2.37, 4 P 2.64
Ni 0.1557 0.6250 0.0307  2 P 2.28, 2 Al 2.37, 2 Ni 2.48
Ni 0.3750 0.4057 0.5307  2 P 2.28, 2 Al 2.37, 2 Ni 2.48
Ni 0.5943 0.1250 0.9693  2 P 2.28, 2 Al 2.37, 2 Ni 2.48
Ni 0.8750 0.8443 0.4693  2 P 2.28, 2 Al 2.37, 2 Ni 2.48
P 0.2500 0.7500 0.5000  4 Ni 2.28
P 0.5000 0.5000 0.0000  4 Ni 2.28

Summary:
Energy relative to the elements: -0.26 eV per atom
Polymorph energy (0 for the lowest one): 287 meV per atom

Al2NiP | PBE | relaxed

Lattice parameters (Å, degrees): 4.3449 4.3449 3.0243 90.00 90.00 107.80
Closest atoms and distances in Å follow each position.
Fractional coordinates of all 4 atoms:
Al 0.0000 0.5000 0.0000  2 Al 2.56, 4 Ni 2.65, 4 P 2.65
Al 0.5000 0.0000 0.0000  2 Al 2.56, 4 Ni 2.65, 4 P 2.65
Ni 0.0000 0.0000 0.5000  2 P 2.56, 8 Al 2.65
P 0.5000 0.5000 0.5000  2 Ni 2.56, 8 Al 2.65

Summary:
Energy relative to the elements: -0.16 eV per atom

Al2NiP | PBE | relaxed

Lattice parameters (Å, degrees): 2.8050 2.8050 7.1261 90.00 90.00 90.00
Closest atoms and distances in Å follow each position.
Fractional coordinates of all 4 atoms:
Al 0.0000 0.0000 0.0000  8 Al 2.80-2.85, 4 P 2.87
Al 0.5000 0.5000 0.2879  4 Ni 2.60, 8 Al 2.80-2.85
Ni 0.0000 0.0000 0.5231  4 P 2.38, 4 Al 2.60
P 0.5000 0.5000 0.7086  4 Ni 2.38

Summary:
Energy relative to the elements: -0.14 eV per atom

AlNiP | PBE | relaxed

Lattice parameters (Å, degrees): 6.0630 6.0630 4.4621 90.00 90.00 120.00
Closest atoms and distances in Å follow each position.
Fractional coordinates of all 9 atoms:
Al 0.0000 0.2507 0.0000  2 P 2.31, 2 Ni 2.36
Al 0.2507 0.0000 0.0000  2 P 2.31, 2 Ni 2.36
Al 0.7493 0.7493 0.0000  2 P 2.31, 2 Ni 2.36
Ni 0.0000 0.3793 0.5000  1 P 2.30, 2 Al 2.36
Ni 0.3793 0.0000 0.5000  1 P 2.30, 2 Al 2.36
Ni 0.6207 0.6207 0.5000  1 P 2.30, 2 Al 2.36
P 0.0000 0.0000 0.5000  3 Ni 2.30
P 0.3333 0.6667 0.0000  3 Al 2.31
P 0.6667 0.3333 0.0000  3 Al 2.31

Summary:
Energy relative to the elements: 0.14 eV per atom

AlNi3P | PBE | relaxed

Lattice parameters (Å, degrees): 4.2556 4.2556 4.2556 90.00 90.00 90.00
Closest atoms and distances in Å follow each position.
Fractional coordinates of all 5 atoms:
Al 0.0000 0.0000 0.0000  6 Ni 2.13
Ni 0.0000 0.0000 0.5000  2 Al 2.13
Ni 0.0000 0.5000 0.0000  2 Al 2.13
Ni 0.5000 0.0000 0.0000  2 Al 2.13
P 0.5000 0.5000 0.5000  12 Ni 3.01

Summary:
Energy relative to the elements: 0.84 eV per atom
Polymorph energy (0 for the lowest one): 1274 meV per atom

AlNi2P | PBE | relaxed

Lattice parameters (Å, degrees): 4.0766 2.8139 4.5309 90.00 112.59 90.00
Closest atoms and distances in Å follow each position.
Fractional coordinates of all 4 atoms:
Al 0.0000 0.0000 0.0000  6 Ni 2.40-2.48, 4 P 2.67
Ni 0.5000 0.0000 0.5000  2 Al 2.40, 4 P 2.48, 4 Ni 2.67
Ni 0.5000 0.5000 0.0000  2 P 2.40, 4 Al 2.48, 4 Ni 2.67
P 0.0000 0.5000 0.5000  6 Ni 2.40-2.48, 4 Al 2.67

Summary:
Energy relative to the elements: -0.31 eV per atom
Polymorph energy (0 for the lowest one): 239 meV per atom

AlNiP | PBE | relaxed

Lattice parameters (Å, degrees): 2.9770 2.9770 5.3183 90.00 90.00 120.00
Closest atoms and distances in Å follow each position.
Fractional coordinates of all 3 atoms:
Al 0.0000 0.0000 0.0000  3 Ni 2.52, 3 P 2.64
Ni 0.3333 0.6667 0.3455  3 P 2.26, 3 Al 2.52
P 0.6667 0.3333 0.6227  3 Ni 2.26

Summary:
Energy relative to the elements: -0.22 eV per atom

Al2Ni2P | PBE | relaxed

Lattice parameters (Å, degrees): 6.9106 6.9106 2.7261 90.00 90.00 90.00
Closest atoms and distances in Å follow each position.
Fractional coordinates of all 10 atoms:
Al 0.1563 0.3437 0.0000  6 Ni 2.41-2.46
Al 0.3437 0.8437 0.0000  6 Ni 2.41-2.46
Al 0.6563 0.1563 0.0000  6 Ni 2.41-2.46
Al 0.8437 0.6563 0.0000  6 Ni 2.41-2.46
Ni 0.1402 0.6402 0.5000  6 Al 2.41-2.46, 2 P 2.67
Ni 0.3598 0.1402 0.5000  6 Al 2.41-2.46, 2 P 2.67
Ni 0.6402 0.8598 0.5000  6 Al 2.41-2.46, 2 P 2.67
Ni 0.8598 0.3598 0.5000  6 Al 2.41-2.46, 2 P 2.67
P 0.0000 0.0000 0.5000  4 Ni 2.67, 2 P 2.73, 8 Al 2.94
P 0.5000 0.5000 0.5000  4 Ni 2.67, 2 P 2.73, 8 Al 2.94

Summary:
Energy relative to the elements: -0.29 eV per atom
Polymorph energy (0 for the lowest one): 0 meV per atom

Al2NiP | PBE | relaxed

Lattice parameters (Å, degrees): 4.5841 4.5841 4.5841 132.61 128.59 72.50
Closest atoms and distances in Å follow each position.
Fractional coordinates of all 4 atoms:
Al 0.2490 0.2490 0.0000  4 P 2.60-2.72, 4 Ni 2.62-2.71, 4 Al 2.71
Al 0.7510 0.7510 0.0000  4 P 2.60-2.72, 4 Ni 2.62-2.71, 4 Al 2.71
Ni 0.5000 0.0000 0.5000  8 Al 2.62-2.71, 4 P 2.71
P 0.0000 0.5000 0.5000  8 Al 2.60-2.72, 4 Ni 2.71

Summary:
Energy relative to the elements: -0.11 eV per atom

Al2NiPRh | PBE | relaxed

Lattice parameters (Å, degrees): 4.5254 4.5254 4.3235 90.00 90.00 90.00
Closest atoms and distances in Å follow each position.
Fractional coordinates of all 5 atoms:
Al 0.0000 0.5000 0.0000  2 P 2.26
Al 0.5000 0.0000 0.0000  2 P 2.26
Ni 0.0000 0.0000 0.5000  8 Al 3.13, 4 Rh 3.20
P 0.5000 0.5000 0.0000  2 Rh 2.16, 4 Al 2.26
Rh 0.5000 0.5000 0.5000  2 P 2.16

Summary:
Energy relative to the elements: 0.51 eV per atom

AlNi2PRu | PBE | relaxed

Lattice parameters (Å, degrees): 4.6080 4.6080 4.3293 90.00 90.00 90.00
Closest atoms and distances in Å follow each position.
Fractional coordinates of all 5 atoms:
Al 0.0000 0.0000 0.0000  8 Ni 3.16, 4 P 3.26
Ni 0.0000 0.5000 0.5000  2 Ru 2.30
Ni 0.5000 0.0000 0.5000  2 Ru 2.30
P 0.5000 0.5000 0.0000  2 Ru 2.16
Ru 0.5000 0.5000 0.5000  2 P 2.16, 4 Ni 2.30

Summary:
Energy relative to the elements: 0.80 eV per atom

AlNiPS2 | PBE | relaxed

Lattice parameters (Å, degrees): 4.6795 4.6795 4.1188 90.00 90.00 90.00
Closest atoms and distances in Å follow each position.
Fractional coordinates of all 5 atoms:
Al 0.0000 0.0000 0.0000  8 S 3.12, 4 P 3.31
Ni 0.5000 0.5000 0.5000  2 P 2.06
P 0.5000 0.5000 0.0000  2 Ni 2.06
S 0.0000 0.5000 0.5000  2 Ni 2.34
S 0.5000 0.0000 0.5000  2 Ni 2.34

Summary:
Polymorph energy (0 for the lowest one): 0 meV per atom

AlNiP2S | PBE | relaxed

Lattice parameters (Å, degrees): 4.3038 4.3038 4.7429 90.00 90.00 90.00
Closest atoms and distances in Å follow each position.
Fractional coordinates of all 5 atoms:
Al 0.0000 0.0000 0.0000  4 S 3.04, 8 P 3.20
Ni 0.5000 0.5000 0.5000  4 P 2.15, 2 S 2.37
P 0.0000 0.5000 0.5000  2 Ni 2.15
P 0.5000 0.0000 0.5000  2 Ni 2.15
S 0.5000 0.5000 0.0000  2 Ni 2.37

Summary:
Polymorph energy (0 for the lowest one): 0 meV per atom

ScAlNiP2 | PBE | relaxed

Lattice parameters (Å, degrees): 4.8587 4.8587 4.6350 90.00 90.00 90.00
Closest atoms and distances in Å follow each position.
Fractional coordinates of all 5 atoms:
Sc 0.0000 0.0000 0.0000  2 Ni 2.32, 4 P 2.43
Al 0.5000 0.5000 0.5000  8 P 3.36, 4 Ni 3.44
Ni 0.0000 0.0000 0.5000  2 Sc 2.32
P 0.0000 0.5000 0.0000  2 Sc 2.43
P 0.5000 0.0000 0.0000  2 Sc 2.43

Summary:
Energy relative to the elements: 0.73 eV per atom

AlNi2PSe | PBE | relaxed

Lattice parameters (Å, degrees): 4.4474 4.4474 4.5076 90.00 90.00 90.00
Closest atoms and distances in Å follow each position.
Fractional coordinates of all 5 atoms:
Al 0.0000 0.0000 0.0000  4 Ni 2.22, 2 P 2.25
Ni 0.0000 0.5000 0.0000  2 Al 2.22
Ni 0.5000 0.0000 0.0000  2 Al 2.22
P 0.0000 0.0000 0.5000  2 Al 2.25
Se 0.5000 0.5000 0.5000  4 P 3.14, 8 Ni 3.17

Al2NiPSe | PBE | relaxed

Lattice parameters (Å, degrees): 4.5164 4.5164 4.6204 90.00 90.00 90.00
Closest atoms and distances in Å follow each position.
Fractional coordinates of all 5 atoms:
Al 0.0000 0.5000 0.0000  2 Ni 2.26
Al 0.5000 0.0000 0.0000  2 Ni 2.26
Ni 0.0000 0.0000 0.0000  4 Al 2.26, 2 Se 2.31
P 0.5000 0.5000 0.5000  4 Se 3.19, 8 Al 3.23
Se 0.0000 0.0000 0.5000  2 Ni 2.31

AlNiSnP2 | PBE | relaxed

Lattice parameters (Å, degrees): 4.7114 4.7114 4.4695 90.00 90.00 90.00
Closest atoms and distances in Å follow each position.
Fractional coordinates of all 5 atoms:
Al 0.0000 0.0000 0.0000  2 Ni 2.23, 4 P 2.36
Ni 0.0000 0.0000 0.5000  2 Al 2.23
Sn 0.5000 0.5000 0.5000  8 P 3.25, 4 Ni 3.33
P 0.0000 0.5000 0.0000  2 Al 2.36
P 0.5000 0.0000 0.0000  2 Al 2.36

Summary:
Energy relative to the elements: 0.63 eV per atom

AlNi7Sn2P2 | PBE | relaxed

Lattice parameters (Å, degrees): 14.2729 14.2729 14.2729 165.65 165.65 20.35
Closest atoms and distances in Å follow each position.
Fractional coordinates of all 12 atoms:
Al 0.0000 0.0000 0.0000  12 Ni 2.52-2.56
Ni 0.0652 0.5652 0.5000  2 P 2.20
Ni 0.3111 0.3111 0.0000  1 P 2.19
Ni 0.4348 0.9348 0.5000  2 P 2.20
Ni 0.5000 0.5000 0.0000  4 Al 2.52, 8 Ni 2.56
Ni 0.5652 0.0652 0.5000  2 P 2.20
Ni 0.6889 0.6889 0.0000  1 P 2.19
Ni 0.9348 0.4348 0.5000  2 P 2.20
Sn 0.2109 0.2109 0.0000  5 Ni 2.60-2.82
Sn 0.7891 0.7891 0.0000  5 Ni 2.60-2.82
P 0.3890 0.3890 0.0000  5 Ni 2.19-2.20
P 0.6110 0.6110 0.0000  5 Ni 2.19-2.20

Summary:
Energy relative to the elements: -0.35 eV per atom

AlNiTe2P | PBE | relaxed

Lattice parameters (Å, degrees): 5.3654 5.3654 4.0642 90.00 90.00 90.00
Closest atoms and distances in Å follow each position.
Fractional coordinates of all 5 atoms:
Al 0.0000 0.0000 0.0000  8 Te 3.37
Ni 0.5000 0.5000 0.5000  2 P 2.03
Te 0.0000 0.5000 0.5000  2 Ni 2.68
Te 0.5000 0.0000 0.5000  2 Ni 2.68
P 0.5000 0.5000 0.0000  2 Ni 2.03

Th2AlNi12P3 | PBE | relaxed

Lattice parameters (Å, degrees): 7.1591 7.1591 7.1591 63.61 63.61 63.61
Closest atoms and distances in Å follow each position.
Fractional coordinates of all 18 atoms:
Th 0.1146 0.1146 0.1146  6 Ni 2.68-2.80
Th 0.8854 0.8854 0.8854  6 Ni 2.68-2.80
Al 0.5000 0.5000 0.5000  6 Ni 2.31
Ni 0.1214 0.6275 0.6275  1 P 2.14, 1 Al 2.31
Ni 0.1543 0.1542 0.6055  2 P 2.14
Ni 0.1543 0.6055 0.1543  2 P 2.14
Ni 0.3725 0.3725 0.8786  1 P 2.14, 1 Al 2.31
Ni 0.3725 0.8786 0.3725  1 P 2.14, 1 Al 2.31
Ni 0.3945 0.8458 0.8458  2 P 2.14
Ni 0.6055 0.1543 0.1542  2 P 2.14
Ni 0.6275 0.1214 0.6275  1 P 2.14, 1 Al 2.31
Ni 0.6275 0.6275 0.1214  1 P 2.14, 1 Al 2.31
Ni 0.8458 0.3945 0.8458  2 P 2.14
Ni 0.8458 0.8457 0.3945  2 P 2.14
Ni 0.8786 0.3725 0.3725  1 P 2.14, 1 Al 2.31
P 0.0000 0.5000 0.5000  6 Ni 2.14
P 0.5000 0.0000 0.5000  6 Ni 2.14
P 0.5000 0.5000 0.0000  6 Ni 2.14

Summary:
Energy relative to the elements: -0.17 eV per atom

AlZn2Ni5P2 | PBE | relaxed

Lattice parameters (Å, degrees): 8.5706 8.5706 3.3605 90.00 90.00 90.00
Closest atoms and distances in Å follow each position.
Fractional coordinates of all 20 atoms:
Al 0.0000 0.0000 0.0000  8 Ni 2.52
Al 0.5000 0.5000 0.0000  8 Ni 2.52
Zn 0.1723 0.3277 0.0000  3 P 2.42-2.60, 2 Ni 2.68
Zn 0.3277 0.8277 0.0000  3 P 2.42-2.60, 2 Ni 2.68
Zn 0.6723 0.1723 0.0000  3 P 2.42-2.60, 2 Ni 2.68
Zn 0.8277 0.6723 0.0000  3 P 2.42-2.60, 2 Ni 2.68
Ni 0.0000 0.5000 0.5000  4 P 2.29
Ni 0.0745 0.7939 0.5000  2 P 2.25
Ni 0.2061 0.0745 0.5000  2 P 2.25
Ni 0.2939 0.5745 0.5000  2 P 2.25
Ni 0.4255 0.2939 0.5000  2 P 2.25
Ni 0.5000 0.0000 0.5000  4 P 2.29
Ni 0.5745 0.7061 0.5000  2 P 2.25
Ni 0.7061 0.4255 0.5000  2 P 2.25
Ni 0.7939 0.9255 0.5000  2 P 2.25
Ni 0.9255 0.2061 0.5000  2 P 2.25
P 0.1281 0.6281 0.0000  6 Ni 2.25-2.29, 1 Zn 2.42
P 0.3719 0.1281 0.0000  6 Ni 2.25-2.29, 1 Zn 2.42
P 0.6281 0.8719 0.0000  6 Ni 2.25-2.29, 1 Zn 2.42
P 0.8719 0.3719 0.0000  6 Ni 2.25-2.29, 1 Zn 2.42

Summary:
Energy relative to the elements: -0.28 eV per atom

PaAl8Ni4 | PBE | relaxed

Lattice parameters (Å, degrees): 6.6121 6.6121 6.6121 98.49 98.49 134.80
Closest atoms and distances in Å follow each position.
Fractional coordinates of all 13 atoms:
Pa 0.0000 0.0000 0.0000  12 Al 2.97-3.18, 8 Ni 3.31
Al 0.0000 0.3446 0.3446  4 Ni 2.63, 5 Al 2.68-2.75
Al 0.0000 0.6554 0.6554  4 Ni 2.63, 5 Al 2.68-2.75
Al 0.2785 0.5000 0.7785  4 Ni 2.52, 6 Al 2.70-2.75
Al 0.3446 0.0000 0.3446  4 Ni 2.63, 5 Al 2.68-2.75
Al 0.5000 0.2785 0.7785  4 Ni 2.52, 6 Al 2.70-2.75
Al 0.5000 0.7215 0.2215  4 Ni 2.52, 6 Al 2.70-2.75
Al 0.6554 0.0000 0.6554  4 Ni 2.63, 5 Al 2.68-2.75
Al 0.7215 0.5000 0.2215  4 Ni 2.52, 6 Al 2.70-2.75
Ni 0.0000 0.0000 0.5000  8 Al 2.52-2.63, 2 Ni 2.54
Ni 0.0000 0.5000 0.0000  8 Al 2.52-2.63, 2 Ni 2.54
Ni 0.5000 0.0000 0.0000  8 Al 2.52-2.63, 2 Ni 2.54
Ni 0.5000 0.5000 0.5000  8 Al 2.52-2.63, 2 Ni 2.54

Summary:
Energy relative to the elements: -0.52 eV per atom

PaAlNi | PBE | relaxed

Lattice parameters (Å, degrees): 6.3147 5.2249 5.1896 74.65 52.93 52.42
Closest atoms and distances in Å follow each position.
Fractional coordinates of all 6 atoms:
Pa 0.1517 0.8483 0.1517  1 Pa 2.70, 4 Ni 2.75
Pa 0.8483 0.1517 0.8483  1 Pa 2.70, 4 Ni 2.75
Al 0.3384 0.3384 0.6616  4 Ni 2.71, 1 Al 2.90
Al 0.6616 0.6616 0.3384  4 Ni 2.71, 1 Al 2.90
Ni 0.2500 0.2500 0.2500  2 Ni 2.68, 4 Al 2.71, 4 Pa 2.75
Ni 0.7500 0.7500 0.7500  2 Ni 2.68, 4 Al 2.71, 4 Pa 2.75

Summary:
Energy relative to the elements: -0.25 eV per atom

Pa2Al6Ni3 | PBE | relaxed

Lattice parameters (Å, degrees): 7.5236 7.5236 3.8711 90.00 90.00 120.00
Closest atoms and distances in Å follow each position.
Fractional coordinates of all 11 atoms:
Pa 0.3333 0.6667 0.0000  6 Ni 3.05, 9 Al 3.13-3.26
Pa 0.6667 0.3333 0.0000  6 Ni 3.05, 9 Al 3.13-3.26
Al 0.0000 0.1999 0.0000  2 Ni 2.35, 2 Al 2.60
Al 0.0000 0.6954 0.5000  3 Ni 2.40-2.60
Al 0.1999 0.0000 0.0000  2 Ni 2.35, 2 Al 2.60
Al 0.3046 0.3046 0.5000  3 Ni 2.40-2.60
Al 0.6954 0.0000 0.5000  3 Ni 2.40-2.60
Al 0.8001 0.8001 0.0000  2 Ni 2.35, 2 Al 2.60
Ni 0.0000 0.3761 0.5000  5 Al 2.35-2.60
Ni 0.3761 0.0000 0.5000  5 Al 2.35-2.60
Ni 0.6239 0.6239 0.5000  5 Al 2.35-2.60

Summary:
Energy relative to the elements: -0.40 eV per atom

Sequential M_tot output: 0.0, 0.0, 0.0, 0.0, 0.0, 0.0, 0.0, 0.0, 0.0, 0.0, 0.0, 0.3, 1.5, 0.0, 0.0, 0.0, 0.0, 0.0, 0.0, 0.0, 0.0, 0.0, 0.0, 0.0, 0.0, 0.0 μB/cell
Sequential energy output: -22.2, -18.9, -43.5, -19.3, -19.3, -43.5, -22.3, -22.0, -15.6, -51.9, -19.1, -23.5, -26.0, -21.1, -21.9, -23.0, -19.9, -20.4, -21.2, -67.2, -19.8, -107.3, -97.7, -69.3, -39.5, -63.2 eV/cell